No. 1
DFT (PBE-GGA) results for a geometry-optimized SrHfGa2 structure.

- formation energy from the elements (kJ per mole of atoms) = -27.7
- N(E_F) (states/eV/cell) = 2.78

Cell: 3.6185 3.6185 7.1048 Å, 90.00 90.00 90.00°
Space group P4/mmm (No. 123)
One atom of each set of equivalent atoms:
1 Sr 0.0000 0.0000 0.0000 (multiplicity 1)
2 Hf 0.0000 0.0000 0.5000 (multiplicity 1)
3 Ga 0.5000 0.5000 0.3087 (multiplicity 2)

---

No. 2
DFT (PBE-GGA) results for a geometry-optimized Mn3VGa structure.

- formation energy from the elements (kJ per mole of atoms) = -17.9
- N(E_F) (states/eV/cell) = 9.15

Cell: 4.0126 14.5725 4.0111 Å, 90.00 90.00 90.00°
Space group Cmcm (No. 63)
One atom of each set of equivalent atoms:
1 Mn 0.0000 0.0440 0.2500 (multiplicity 4)
2 Mn 0.0000 0.2497 0.2500 (multiplicity 4)
3 Mn 0.0000 0.4554 0.2500 (multiplicity 4)
4 V 0.0000 0.3447 0.7500 (multiplicity 4)
5 Ga 0.0000 0.1492 0.7500 (multiplicity 4)

---

- Which value of N(E_F) does entry 2 give?
  9.15 states/eV/cell

---

Repeat the second record exactly.
DFT (PBE-GGA) results for a geometry-optimized Mn3VGa structure.

- formation energy from the elements (kJ per mole of atoms) = -17.9
- N(E_F) (states/eV/cell) = 9.15

Cell: 4.0126 14.5725 4.0111 Å, 90.00 90.00 90.00°
Space group Cmcm (No. 63)
One atom of each set of equivalent atoms:
1 Mn 0.0000 0.0440 0.2500 (multiplicity 4)
2 Mn 0.0000 0.2497 0.2500 (multiplicity 4)
3 Mn 0.0000 0.4554 0.2500 (multiplicity 4)
4 V 0.0000 0.3447 0.7500 (multiplicity 4)
5 Ga 0.0000 0.1492 0.7500 (multiplicity 4)